# CuTc2Ru

A relaxed structure of CuTc2Ru (GGA-PBE, Alexandria via LeMat-Bulk).

## Properties
space-group type: No. 99
offset from the most stable computed form: 119 meV/atom
ΔE_f: 1.1 eV per formula unit

a b c (Å): 3.0913 3.0913 5.8147
angles (deg): 90.00 90.00 90.00
With the nearest neighbours (Å) after each atom.
Sites, in units of the cell vectors:
Cu  0.0000  0.0000  0.0000  4 Ru 2.56, 5 Tc 2.59-2.84
Tc  0.0000  0.0000  0.5117  4 Tc 2.62, 4 Ru 2.74, 1 Cu 2.84
Tc  0.5000  0.5000  0.7612  4 Cu 2.59, 4 Tc 2.62, 1 Ru 2.72
Ru  0.5000  0.5000  0.2288  4 Cu 2.56, 5 Tc 2.72-2.74